The following is a PBE calculation of a relaxed ScAgSnTe2Se crystal, from OQMD via LeMat-Bulk.

The calculation puts the magnetic moment at 0.00 μB per formula unit. Its total energy is -4.4546 eV/atom.

It has space group Cmcm (No. 63), with a = 4.1940 Å, b = 14.3915 Å, c = 10.3274 Å, α = 90.00°, β = 90.00° and γ = 90.00°. The distinct sites, in fractional coordinates, are Sc at (0.0000, 0.0000, 0.0000), Ag at (0.0000, 0.4762, 0.2500), Sn at (0.0000, 0.2555, 0.7500), Te at (0.0000, 0.3542, 0.0457) and Se at (0.0000, 0.0870, 0.2500).

=====

The following is a PBE calculation of a relaxed LuHfBe crystal, from OQMD via LeMat-Bulk.

Its energy above the most stable polymorph in this dataset is 0.0000 eV per atom. The calculation puts the magnetic moment at 0.28 μB per formula unit. Its total energy is -5.6956 eV/atom.

It has space group F-43m (No. 216), with a = 6.3325 Å, b = 6.3325 Å, c = 6.3325 Å, α = 90.00°, β = 90.00° and γ = 90.00°. The distinct sites, in fractional coordinates, are Lu at (0.0000, 0.0000, 0.0000), Hf at (0.0000, 0.0000, 0.5000) and Be at (0.2500, 0.2500, 0.7500).

=====

The following is a PBE calculation of a relaxed YHfTeC crystal, from OQMD via LeMat-Bulk.

Its energy above the most stable polymorph in this dataset is 0.0192 eV per atom. The calculation puts the magnetic moment at 0.01 μB per formula unit. Its total energy is -8.0238 eV/atom.

It has space group P-3m1 (No. 164), with a = 3.6501 Å, b = 3.6501 Å, c = 13.7309 Å, α = 90.00°, β = 90.00° and γ = 120.00°. The distinct sites, in fractional coordinates, are Y at (0.3333, 0.6667, 0.0966), Hf at (0.3333, 0.6667, 0.4171), Te at (0.3333, 0.6667, 0.7319), C at (0.0000, 0.0000, 0.0000) and C at (0.0000, 0.0000, 0.5000).